Record 1
## CsSc2Ge (PBE-GGA)

Data for crystalline CsSc2Ge at its relaxed geometry.

Values from the calculation:
* energy relative to the elements: 632 meV per atom
* D(E_F): 6.56 states/eV/cell
* polymorph energy (0 for the lowest one): 567.7 meV/atom

Cell lengths 12.566, 12.566, 12.566 Å; angles 15.67, 15.67, 15.67 degrees
Atoms (fractional coordinates):
Sc: 0.072 0.072 0.072
Sc: 0.928 0.928 0.928
Ge: 0.000 0.000 0.000
Cs: 0.500 0.500 0.500

Record 2
## MoOs2Cl (PBE-GGA)

Data for crystalline MoOs2Cl at its relaxed geometry.

Values from the calculation:
* D(E_F): 3.07 states/eV/cell
* polymorph energy (0 for the lowest one): 723.6 meV/atom

Cell lengths 4.432, 4.432, 4.432 Å; angles 60.00, 60.00, 60.00 degrees
Atoms (fractional coordinates):
Os: 0.750 0.750 0.750
Os: 0.250 0.250 0.250
Cl: 0.000 0.000 0.000
Mo: 0.500 0.500 0.500

Record 3
## Ce2AlGe3Pt4 (PBE-GGA)

Data for crystalline Ce2AlGe3Pt4 at its relaxed geometry.

Values from the calculation:
* energy relative to the elements: -962 meV per atom
* D(E_F): 13.44 states/eV/cell

Cell lengths 4.326, 4.326, 10.226 Å; angles 90.00, 90.00, 90.00 degrees
Last column: magnetic moment on the atom in μB.
Atoms (fractional coordinates):
Pt: 0.500 0.000 0.628  -0.01
Pt: 0.000 0.000 0.000  0.01
Pt: 0.000 0.500 0.372  -0.01
Pt: 0.500 0.500 0.000  0.01
Ge: 0.000 0.500 0.132  0.00
Ge: 0.000 0.000 0.500  0.00
Ge: 0.500 0.000 0.868  0.00
Al: 0.500 0.500 0.500  0.00
Ce: 0.000 0.500 0.751  0.57
Ce: 0.500 0.000 0.249  0.57